# 1
! Cs4PbO4 (meta-GGA SCAN, PBEsol geometry); values from VASP
! - E (eV/atom) = -29.345
&SYSTEM
  ibrav = 0, nat = 36, ntyp = 3
/
ATOMIC_SPECIES
O 16.00 O.upf
Cs 132.91 Cs.upf
Pb 207.20 Pb.upf
CELL_PARAMETERS angstrom
7.349 0.000 0.000
0.000 11.708 0.032
0.000 -4.224 10.958
ATOMIC_POSITIONS crystal
O 0.738 0.472 0.070
O 0.036 0.150 0.310
O 0.840 0.516 0.365
O 0.013 0.829 0.215
O 0.660 0.016 0.365
O 0.762 0.972 0.070
O 0.340 0.984 0.635
O 0.160 0.484 0.635
O 0.513 0.671 0.785
O 0.964 0.850 0.690
O 0.238 0.028 0.930
O 0.262 0.528 0.930
O 0.464 0.650 0.310
O 0.487 0.329 0.215
O 0.987 0.171 0.785
O 0.536 0.350 0.690
Cs 0.334 0.892 0.370
Cs 0.082 0.799 0.940
Cs 0.166 0.392 0.370
Cs 0.816 0.793 0.425
Cs 0.184 0.207 0.575
Cs 0.684 0.293 0.425
Cs 0.609 0.916 0.840
Cs 0.891 0.416 0.840
Cs 0.109 0.584 0.160
Cs 0.391 0.084 0.160
Cs 0.582 0.701 0.060
Cs 0.666 0.108 0.630
Cs 0.316 0.707 0.575
Cs 0.418 0.299 0.940
Cs 0.918 0.201 0.060
Cs 0.834 0.608 0.630
Pb 0.627 0.492 0.240
Pb 0.873 0.992 0.240
Pb 0.373 0.508 0.760
Pb 0.127 0.008 0.760

---

# 2
! CuRu2Pb (meta-GGA SCAN, PBEsol geometry); values from VASP
! - formation energy (meV/atom) = 598
&SYSTEM
  ibrav = 0, nat = 4, ntyp = 3
/
ATOMIC_SPECIES
Cu 63.55 Cu.upf
Ru 101.07 Ru.upf
Pb 207.20 Pb.upf
CELL_PARAMETERS angstrom
4.419 0.000 0.000
2.209 3.827 0.000
2.209 1.276 3.608
ATOMIC_POSITIONS crystal
Cu 0.500 0.500 0.500
Ru 0.000 0.000 0.000
Ru 0.250 0.250 0.250
Pb 0.750 0.750 0.750

---

# 3
! ZnSe2O5 (meta-GGA SCAN, PBEsol geometry); values from VASP
! - E (eV/atom) = -11.664
&SYSTEM
  ibrav = 0, nat = 32, ntyp = 3
/
ATOMIC_SPECIES
Se 78.96 Se.upf
O 16.00 O.upf
Zn 65.41 Zn.upf
CELL_PARAMETERS angstrom
6.008 0.000 0.000
0.000 6.817 0.000
0.000 0.000 10.445
ATOMIC_POSITIONS crystal
Se 0.971 0.866 0.655
Se 0.529 0.366 0.155
Se 0.471 0.634 0.845
Se 0.029 0.366 0.845
Se 0.471 0.866 0.345
Se 0.529 0.134 0.655
Se 0.971 0.634 0.155
Se 0.029 0.134 0.345
O 0.545 0.156 0.065
O 0.665 0.301 0.290
O 0.335 0.699 0.710
O 0.750 0.500 0.066
O 0.455 0.656 0.435
O 0.955 0.656 0.565
O 0.045 0.344 0.435
O 0.835 0.699 0.290
O 0.455 0.844 0.935
O 0.250 0.500 0.934
O 0.835 0.801 0.790
O 0.250 0.000 0.434
O 0.165 0.301 0.710
O 0.750 0.000 0.566
O 0.665 0.199 0.790
O 0.165 0.199 0.210
O 0.955 0.844 0.065
O 0.335 0.801 0.210
O 0.045 0.156 0.935
O 0.545 0.344 0.565
Zn 0.750 0.500 0.439
Zn 0.250 0.000 0.061
Zn 0.250 0.500 0.561
Zn 0.750 0.000 0.939

---

# 4
! NdSiAg (meta-GGA SCAN, PBEsol geometry); values from VASP
! - E (eV/atom) = -28.920
&SYSTEM
  ibrav = 0, nat = 6, ntyp = 3
/
ATOMIC_SPECIES
Si 28.09 Si.upf
Ag 107.87 Ag.upf
Nd 144.24 Nd.upf
CELL_PARAMETERS angstrom
4.390 0.000 0.000
-2.195 3.802 0.000
0.000 0.000 7.733
ATOMIC_POSITIONS crystal
Si 0.333 0.667 0.750
Si 0.667 0.333 0.250
Ag 0.667 0.333 0.750
Ag 0.333 0.667 0.250
Nd 0.000 0.000 0.500
Nd 0.000 0.000 0.000

---

| no. | ρ (g/cm³) |
| --- | --- |
| 1 | 5.65 |
| 2 | 12.87 |
| 3 | 4.71 |
| 4 | 7.21 |